1.
A plane-wave DFT calculation with PBE was carried out for a relaxed structure of Co2NiPd6.

The structure in extended XYZ format:
```
9
Lattice="5.621 -1.943 0.000 5.621 1.943 0.000 -1.857 0.000 5.822" Properties=species:S:1:pos:R:3 pbc="T T T"
Co -0.025 0.000 2.020
Co 9.410 0.000 3.801
Ni 5.621 0.000 0.000
Pd 1.743 0.000 0.004
Pd 1.962 0.000 3.886
Pd 3.831 0.000 1.911
Pd 5.555 0.000 3.911
Pd 7.423 0.000 1.935
Pd 7.642 0.000 5.818
```

Values from the calculation:
Energy in eV/atom: -5.661
Polymorph energy (0 for the lowest one) in meV/atom: 0
Calculated formation energy in eV per atom: 0.022
DOS at the Fermi energy in states/eV/f.u.: 9.847



2.
A plane-wave DFT calculation with PBE was carried out for a relaxed structure of CoNi3Pd6.

The structure in extended XYZ format:
```
20
Lattice="7.153 0.000 0.000 0.000 4.386 0.000 -3.248 0.000 8.822" Properties=species:S:1:pos:R:3 pbc="T T T"
Co 0.512 1.096 0.597
Co 3.393 3.289 8.225
Ni -1.608 3.289 6.447
Ni 0.399 3.289 4.721
Ni -0.638 1.096 7.648
Ni 4.544 3.289 1.174
Ni 3.506 1.096 4.101
Ni 5.513 1.096 2.375
Pd -0.152 3.289 1.938
Pd -1.139 1.096 5.046
Pd 1.944 3.289 0.191
Pd 0.879 1.096 3.209
Pd 2.463 3.289 2.958
Pd 0.845 3.289 7.376
Pd 3.060 1.096 1.446
Pd 1.442 1.096 5.864
Pd 3.026 3.289 5.613
Pd 1.961 1.096 8.631
Pd 5.044 3.289 3.776
Pd 4.057 1.096 6.884
```

Values from the calculation:
Energy in eV/atom: -5.508
Polymorph energy (0 for the lowest one) in meV/atom: 0
Calculated formation energy in eV per atom: 0.053
DOS at the Fermi energy in states/eV/f.u.: 16.740



3.
A plane-wave DFT calculation with PBE was carried out for a relaxed structure of Co4Ni2Pd3.

The structure in extended XYZ format:
```
9
Lattice="5.491 -1.842 0.000 5.491 1.842 0.000 -1.836 0.000 5.609" Properties=species:S:1:pos:R:3 pbc="T T T"
Co 1.026 0.000 1.008
Co 2.628 0.000 2.809
Co 6.517 0.000 2.800
Co 8.119 0.000 4.601
Ni 0.965 0.000 4.659
Ni 8.180 0.000 0.951
Pd -0.918 0.000 2.805
Pd 4.543 0.000 0.900
Pd 4.603 0.000 4.709
```

Values from the calculation:
Energy in eV/atom: -6.128
Polymorph energy (0 for the lowest one) in meV/atom: 0
Calculated formation energy in eV per atom: 0.046
DOS at the Fermi energy in states/eV/f.u.: 10.177



4.
A plane-wave DFT calculation with PBE was carried out for a relaxed structure of CoNiPd4.

The structure in extended XYZ format:
```
6
Lattice="2.737 0.000 0.000 -0.006 4.753 0.000 -1.346 -2.364 6.535" Properties=species:S:1:pos:R:3 pbc="T T T"
Co 0.000 0.000 0.000
Ni 1.366 2.377 0.000
Pd 0.002 3.178 2.087
Pd 0.012 1.591 4.455
Pd 1.373 0.798 2.080
Pd 1.383 -0.789 4.447
```

Values from the calculation:
Energy in eV/atom: -5.574
Polymorph energy (0 for the lowest one) in meV/atom: 0
Calculated formation energy in eV per atom: 0.036
DOS at the Fermi energy in states/eV/f.u.: 7.452



5.
A plane-wave DFT calculation with PBE was carried out for a relaxed structure of Co2NiPd.

The structure in extended XYZ format:
```
4
Lattice="3.618 0.000 0.000 0.000 3.618 0.000 0.000 0.000 3.734" Properties=species:S:1:pos:R:3 pbc="T T T"
Co 0.000 1.809 0.000
Co 1.809 0.000 0.000
Ni 0.000 0.000 1.867
Pd 1.809 1.809 1.867
```

Values from the calculation:
Energy in eV/atom: -6.238
Polymorph energy (0 for the lowest one) in meV/atom: 14
Calculated formation energy in eV per atom: 0.058
DOS at the Fermi energy in states/eV/f.u.: 4.448



6.
A plane-wave DFT calculation with PBE was carried out for a relaxed structure of CoNi5Pd.

The structure in extended XYZ format:
```
14
Lattice="6.037 -2.292 0.000 6.037 2.292 0.000 -5.090 0.000 6.155" Properties=species:S:1:pos:R:3 pbc="T T T"
Co 2.220 2.278 4.617
Co 4.765 -2.278 1.539
Ni 1.739 1.143 2.444
Ni 0.462 1.167 5.739
Ni 3.977 1.167 3.494
Ni 7.790 1.143 0.634
Ni 4.765 0.003 1.539
Ni 2.220 -0.003 4.617
Ni -0.806 -1.143 5.522
Ni 3.007 -1.167 2.661
Ni 6.522 -1.167 0.416
Ni 5.245 -1.143 3.711
Pd 3.019 1.146 0.000
Pd 0.474 -1.146 3.078
```

Values from the calculation:
Energy in eV/atom: -5.695
Polymorph energy (0 for the lowest one) in meV/atom: 0
Calculated formation energy in eV per atom: 0.192
DOS at the Fermi energy in states/eV/f.u.: 12.200



7.
A plane-wave DFT calculation with PBE was carried out for a relaxed structure of CoNi4Pd.

The structure in extended XYZ format:
```
6
Lattice="1.804 -5.389 0.000 1.804 5.389 0.000 0.000 0.000 3.617" Properties=species:S:1:pos:R:3 pbc="T T T"
Co 0.000 0.000 0.000
Ni 1.804 3.544 1.808
Ni 1.804 1.829 0.000
Ni 1.804 -1.829 0.000
Ni 1.804 -3.544 1.808
Pd 1.804 0.000 1.808
```

Values from the calculation:
Energy in eV/atom: -5.865
Polymorph energy (0 for the lowest one) in meV/atom: 0
Calculated formation energy in eV per atom: 0.039
DOS at the Fermi energy in states/eV/f.u.: 8.036



8.
A plane-wave DFT calculation with PBE was carried out for a relaxed structure of Co2Ni7Pd2.

The structure in extended XYZ format:
```
11
Lattice="4.686 0.000 0.000 -0.334 4.675 0.000 -1.006 -1.081 6.136" Properties=species:S:1:pos:R:3 pbc="T T T"
Co 0.713 1.513 0.003
Co 2.633 2.082 6.133
Ni -0.752 3.578 4.231
Ni -0.127 2.383 2.167
Ni 1.113 1.847 4.229
Ni 1.840 -0.540 3.068
Ni 2.233 1.748 1.907
Ni 3.474 1.212 3.969
Ni 4.098 0.016 1.905
Pd 1.263 3.868 0.641
Pd 2.083 -0.273 5.495
```

Values from the calculation:
Energy in eV/atom: -5.759
Calculated formation energy in eV per atom: 0.156
DOS at the Fermi energy in states/eV/f.u.: 17.273



9.
A plane-wave DFT calculation with PBE was carried out for a relaxed structure of Co3NiPd.

The structure in extended XYZ format:
```
10
Lattice="6.501 -1.909 0.000 6.501 1.909 0.000 -0.258 0.000 4.969" Properties=species:S:1:pos:R:3 pbc="T T T"
Co 1.831 0.000 2.129
Co 3.433 0.000 4.144
Co 4.174 0.000 1.540
Co 8.571 0.000 3.429
Co 9.312 0.000 0.825
Co 10.914 0.000 2.840
Ni 1.047 0.000 4.692
Ni 11.697 0.000 0.277
Pd 5.945 0.000 3.697
Pd 6.800 0.000 1.272
```

Values from the calculation:
Energy in eV/atom: -6.342
Polymorph energy (0 for the lowest one) in meV/atom: 0
Calculated formation energy in eV per atom: 0.116
DOS at the Fermi energy in states/eV/f.u.: 4.329



10.
A plane-wave DFT calculation with PBE was carried out for a relaxed structure of Co4Ni2Pd3.

The structure in extended XYZ format:
```
9
Lattice="3.849 -2.090 0.000 3.849 2.090 0.000 -1.541 0.000 7.306" Properties=species:S:1:pos:R:3 pbc="T T T"
Co 0.125 0.000 1.221
Co 1.693 0.000 3.145
Co 4.464 0.000 4.161
Co 6.032 0.000 6.085
Ni 0.974 0.000 5.491
Ni 5.182 0.000 1.815
Pd -0.771 0.000 3.653
Pd 2.639 0.000 0.715
Pd 3.517 0.000 6.591
```

Values from the calculation:
Energy in eV/atom: -5.994
Polymorph energy (0 for the lowest one) in meV/atom: 134
Calculated formation energy in eV per atom: 0.180
DOS at the Fermi energy in states/eV/f.u.: 10.202



11.
A plane-wave DFT calculation with PBE was carried out for a relaxed structure of CoNi4Pd.

The structure in extended XYZ format:
```
6
Lattice="0.000 3.303 3.303 3.303 0.000 3.303 3.303 3.303 0.000" Properties=species:S:1:pos:R:3 pbc="T T T"
Co 0.000 0.000 0.000
Ni 4.131 2.476 2.476
Ni 2.476 4.131 2.476
Ni 2.476 2.476 4.131
Ni 4.131 4.131 4.131
Pd 1.652 1.652 1.652
```

Values from the calculation:
Energy in eV/atom: -5.755
Polymorph energy (0 for the lowest one) in meV/atom: 110
Calculated formation energy in eV per atom: 0.149
DOS at the Fermi energy in states/eV/f.u.: 10.474



12.
A plane-wave DFT calculation with PBE was carried out for a relaxed structure of Co2Ni2Pd7.

The structure in extended XYZ format:
```
11
Lattice="3.578 -4.618 0.000 3.578 4.618 0.000 -1.365 0.000 4.925" Properties=species:S:1:pos:R:3 pbc="T T T"
Co 3.578 3.432 0.000
Co 3.578 -3.432 0.000
Ni 0.388 0.000 2.026
Ni 5.402 0.000 2.900
Pd 1.923 2.246 1.410
Pd 0.920 0.000 4.629
Pd 3.867 2.246 3.516
Pd 2.895 0.000 2.463
Pd 1.923 -2.246 1.410
Pd 4.869 0.000 0.296
Pd 3.867 -2.246 3.516
```

Values from the calculation:
Energy in eV/atom: -5.458
Calculated formation energy in eV per atom: 0.190
DOS at the Fermi energy in states/eV/f.u.: 11.882



13.
A plane-wave DFT calculation with PBE was carried out for a relaxed structure of CoNi3Pd.

The structure in extended XYZ format:
```
10
Lattice="6.360 0.000 0.000 0.000 2.566 0.000 -2.340 0.000 7.326" Properties=species:S:1:pos:R:3 pbc="T T T"
Co 0.280 0.642 1.035
Co 3.740 1.925 6.291
Ni 0.960 1.925 3.140
Ni -0.302 1.925 7.159
Ni 2.563 0.642 1.833
Ni 1.457 1.925 5.493
Ni 4.322 0.642 0.168
Ni 3.060 0.642 4.186
Pd -0.759 0.642 4.859
Pd 4.779 1.925 2.468
```

Values from the calculation:
Energy in eV/atom: -5.870
Polymorph energy (0 for the lowest one) in meV/atom: 0
Calculated formation energy in eV per atom: 0.058
DOS at the Fermi energy in states/eV/f.u.: 7.279



14.
A plane-wave DFT calculation with PBE was carried out for a relaxed structure of Co3Ni2Pd.

The structure in extended XYZ format:
```
12
Lattice="3.615 0.000 0.000 1.805 4.032 0.000 1.791 0.725 9.663" Properties=species:S:1:pos:R:3 pbc="T T T"
Co 1.800 1.219 4.424
Co 3.597 3.541 9.302
Co 1.804 1.969 1.911
Co 5.407 2.788 7.752
Co 3.615 1.216 0.361
Co 5.411 3.538 5.239
Ni 3.600 1.181 8.520
Ni 3.604 1.985 5.997
Ni 3.607 2.772 3.666
Ni 3.611 3.576 1.143
Pd 3.601 4.398 6.861
Pd 3.611 0.360 2.802
```

Values from the calculation:
Energy in eV/atom: -6.311
Calculated formation energy in eV per atom: 0.034
DOS at the Fermi energy in states/eV/f.u.: 6.531



15.
A plane-wave DFT calculation with PBE was carried out for a relaxed structure of Co3Ni2Pd2.

The structure in extended XYZ format:
```
7
Lattice="2.327 -4.067 0.000 2.327 4.067 0.000 0.000 0.000 4.606" Properties=species:S:1:pos:R:3 pbc="T T T"
Co 0.000 0.000 0.000
Co 2.327 0.000 1.156
Co 2.327 0.000 3.450
Ni 1.164 2.033 0.000
Ni 1.164 -2.033 0.000
Pd 2.327 2.727 2.303
Pd 2.327 -2.727 2.303
```

Values from the calculation:
Energy in eV/atom: -6.096
Polymorph energy (0 for the lowest one) in meV/atom: 43
Calculated formation energy in eV per atom: 0.085
DOS at the Fermi energy in states/eV/f.u.: 9.803



16.
A plane-wave DFT calculation with PBE was carried out for a relaxed structure of CoNiPd2.

The structure in extended XYZ format:
```
4
Lattice="0.000 2.999 2.999 2.999 0.000 2.999 2.999 2.999 0.000" Properties=species:S:1:pos:R:3 pbc="T T T"
Co 0.000 0.000 0.000
Ni 2.999 2.999 2.999
Pd 1.500 1.500 1.500
Pd 4.499 4.499 4.499
```

Values from the calculation:
Energy in eV/atom: -5.709
Polymorph energy (0 for the lowest one) in meV/atom: 65
Calculated formation energy in eV per atom: 0.109
DOS at the Fermi energy in states/eV/f.u.: 4.632



17.
A plane-wave DFT calculation with PBE was carried out for a relaxed structure of Co2NiPd.

The structure in extended XYZ format:
```
4
Lattice="1.303 0.752 8.355 -1.303 0.752 8.355 0.000 -1.505 8.355" Properties=species:S:1:pos:R:3 pbc="T T T"
Co 0.000 0.000 0.000
Co 0.000 0.000 4.394
Ni 0.000 0.000 14.724
Pd 0.000 0.000 10.554
```

Values from the calculation:
Energy in eV/atom: -6.192
Polymorph energy (0 for the lowest one) in meV/atom: 61
Calculated formation energy in eV per atom: 0.105
DOS at the Fermi energy in states/eV/f.u.: 5.207



18.
A plane-wave DFT calculation with PBE was carried out for a relaxed structure of CoNi3Pd.

The structure in extended XYZ format:
```
10
Lattice="5.710 0.000 0.000 -2.855 4.945 0.000 0.000 0.000 4.669" Properties=species:S:1:pos:R:3 pbc="T T T"
Co 0.000 0.000 0.000
Co 0.000 0.000 2.335
Ni 0.000 1.954 1.167
Ni -1.163 3.968 1.167
Ni 1.693 0.977 3.502
Ni 1.163 3.968 1.167
Ni 4.018 0.977 3.502
Ni 2.855 2.991 3.502
Pd 0.000 3.297 3.502
Pd 2.855 1.648 1.167
```

Values from the calculation:
Energy in eV/atom: -5.496
Polymorph energy (0 for the lowest one) in meV/atom: 374
Calculated formation energy in eV per atom: 0.432
DOS at the Fermi energy in states/eV/f.u.: 6.817



19.
A plane-wave DFT calculation with PBE was carried out for a relaxed structure of Co4NiPd.

The structure in extended XYZ format:
```
6
Lattice="0.000 3.317 3.317 3.317 0.000 3.317 3.317 3.317 0.000" Properties=species:S:1:pos:R:3 pbc="T T T"
Co 0.831 0.831 0.831
Co 2.485 2.485 0.831
Co 2.485 0.831 2.485
Co 0.831 2.485 2.485
Ni 3.317 3.317 3.317
Pd 4.975 4.975 4.975
```

Values from the calculation:
Energy in eV/atom: -6.414
Polymorph energy (0 for the lowest one) in meV/atom: 0
Calculated formation energy in eV per atom: 0.152
DOS at the Fermi energy in states/eV/f.u.: 7.527



20.
A plane-wave DFT calculation with PBE was carried out for a relaxed structure of Co2Ni5Pd.

The structure in extended XYZ format:
```
16
Lattice="5.087 0.000 0.000 0.000 10.156 0.000 0.000 0.000 3.576" Properties=species:S:1:pos:R:3 pbc="T T T"
Co 1.222 1.315 0.000
Co 1.321 6.393 0.000
Co 3.766 3.763 0.000
Co 3.865 8.841 0.000
Ni 0.000 0.000 1.788
Ni 0.000 2.503 1.788
Ni 5.087 7.654 1.788
Ni 1.235 8.844 0.000
Ni 1.308 3.766 0.000
Ni 2.544 2.575 1.788
Ni 2.544 5.078 1.788
Ni 2.544 7.581 1.788
Ni 3.779 6.390 0.000
Ni 3.852 1.312 0.000
Pd 0.000 5.078 1.788
Pd 2.544 0.000 1.788
```

Values from the calculation:
Energy in eV/atom: -6.004
Polymorph energy (0 for the lowest one) in meV/atom: 0
Calculated formation energy in eV per atom: 0.035
DOS at the Fermi energy in states/eV/f.u.: 11.757



21.
A plane-wave DFT calculation with PBE was carried out for a relaxed structure of Co2NiPd.

The structure in extended XYZ format:
```
4
Lattice="2.584 0.000 0.000 0.000 2.584 0.000 0.000 0.000 7.298" Properties=species:S:1:pos:R:3 pbc="T T T"
Co 0.000 0.000 1.706
Co 0.000 0.000 5.591
Ni 1.292 1.292 0.000
Pd 1.292 1.292 3.649
```

Values from the calculation:
Energy in eV/atom: -6.217
Polymorph energy (0 for the lowest one) in meV/atom: 35
Calculated formation energy in eV per atom: 0.079
DOS at the Fermi energy in states/eV/f.u.: 5.891



22.
A plane-wave DFT calculation with PBE was carried out for a relaxed structure of CoNi3Pd12.

The structure in extended XYZ format:
```
16
Lattice="3.874 0.000 0.000 0.000 3.874 0.000 0.000 0.000 15.437" Properties=species:S:1:pos:R:3 pbc="T T T"
Co 0.000 0.000 0.000
Ni 0.000 0.000 3.887
Ni 0.000 0.000 7.718
Ni 0.000 0.000 11.550
Pd 0.000 1.937 1.925
Pd 0.000 1.937 5.792
Pd 0.000 1.937 9.645
Pd 0.000 1.937 13.512
Pd 1.937 0.000 1.925
Pd 1.937 0.000 5.792
Pd 1.937 0.000 9.645
Pd 1.937 0.000 13.512
Pd 1.937 1.937 0.000
Pd 1.937 1.937 3.861
Pd 1.937 1.937 7.718
Pd 1.937 1.937 11.576
```

Values from the calculation:
Energy in eV/atom: -5.374
Calculated formation energy in eV per atom: 0.049
DOS at the Fermi energy in states/eV/f.u.: 35.529



23.
A plane-wave DFT calculation with PBE was carried out for a relaxed structure of CoNi3Pd4.

The structure in extended XYZ format:
```
8
Lattice="4.117 -1.912 0.000 4.117 1.912 0.000 -3.559 0.000 6.773" Properties=species:S:1:pos:R:3 pbc="T T T"
Co 0.000 0.000 0.000
Ni -1.780 0.000 3.387
Ni 1.429 0.000 5.102
Ni 3.246 0.000 1.672
Pd -1.061 0.000 5.926
Pd 0.733 0.000 2.542
Pd 3.942 0.000 4.231
Pd 5.736 0.000 0.847
```

Values from the calculation:
Energy in eV/atom: -5.612
Calculated formation energy in eV per atom: 0.041
DOS at the Fermi energy in states/eV/f.u.: 11.349